Entry from the Alexandria database: UFeCuO6 after structural relaxation (GGA+U).

## Properties
M_tot ... 0.3392 μB/atom
Raw total energy ... -7.474 eV/atom
Density ... 7.0 g cm⁻³
Symmetry ... P4_2nm (102)

Cell: 4.781 4.781 9.375 Å, 90.00 90.00 90.00°
Last column: magnetic moment on the atom in μB.
Sites, in units of the cell vectors:
U 0.500 0.500 0.499  0.05
U 0.000 0.000 0.999  0.05
Fe 0.500 0.500 0.834  4.24
Fe 0.000 0.000 0.334  4.24
Cu 0.500 0.500 0.166  -0.79
Cu 0.000 0.000 0.666  -0.79
O 0.187 0.813 0.500  -0.07
O 0.813 0.187 0.500  -0.07
O 0.313 0.313 0.000  -0.07
O 0.687 0.687 0.000  -0.07
O 0.194 0.806 0.170  -0.06
O 0.806 0.194 0.170  -0.06
O 0.306 0.306 0.670  -0.06
O 0.694 0.694 0.670  -0.06
O 0.803 0.197 0.830  -0.08
O 0.197 0.803 0.830  -0.08
O 0.697 0.697 0.330  -0.08
O 0.303 0.303 0.330  -0.08